w | First-principles (PBE) data for a relaxed SiTcIN2 crystal, as listed in Alexandria.

Properties
- N(E_F) (states/eV/atom) = 0.58
- crystal system = tetragonal

a = 3.942 Å, b = 3.942 Å, c = 5.601 Å
α = 90.00°, β = 90.00°, γ = 90.00°
Sites, in units of the cell vectors:
Si1 0.000 0.000 0.000
Tc1 0.500 0.500 0.500
I1 0.500 0.500 0.000
N1 0.000 0.500 0.500
N2 0.500 0.000 0.500

***

x | First-principles (PBE) data for a relaxed SiTcIN2 crystal, as listed in Alexandria.

Properties
- N(E_F) (states/eV/atom) = 0.99
- crystal system = tetragonal

a = 3.619 Å, b = 3.619 Å, c = 6.949 Å
α = 90.00°, β = 90.00°, γ = 90.00°
Sites, in units of the cell vectors:
Si1 0.000 0.000 0.000
Tc1 0.500 0.500 0.500
I1 0.000 0.000 0.500
N1 0.000 0.500 0.000
N2 0.500 0.000 0.000

***

It comes down to w, which is 23.3 kJ/mol of atoms more stable than the next structure.

***

w | First-principles (PBE) data for a relaxed VSiIN2 crystal, as listed in Alexandria.

Properties
- N(E_F) (states/eV/atom) = 1.49
- crystal system = tetragonal

a = 3.590 Å, b = 3.590 Å, c = 6.314 Å
α = 90.00°, β = 90.00°, γ = 90.00°
Sites, in units of the cell vectors:
V1 0.000 0.000 0.000
Si1 0.500 0.500 0.500
I1 0.500 0.500 0.000
N1 0.000 0.500 0.500
N2 0.500 0.000 0.500

***

x | First-principles (PBE) data for a relaxed VSiIN2 crystal, as listed in Alexandria.

Properties
- N(E_F) (states/eV/atom) = 0.82
- crystal system = tetragonal

a = 3.890 Å, b = 3.890 Å, c = 5.471 Å
α = 90.00°, β = 90.00°, γ = 90.00°
Sites, in units of the cell vectors:
V1 0.000 0.000 0.000
Si1 0.500 0.500 0.500
I1 0.000 0.000 0.500
N1 0.000 0.500 0.000
N2 0.500 0.000 0.000

***

It comes down to x, which is 25.2 kJ/mol of atoms more stable than the next structure.